Below is a geometry-optimized KZnGe structure, with properties calculated at the PBE-GGA level.

extended XYZ file:
```
3
Lattice="-1.688 -4.908 -1.392 2.588 -1.735 2.979 -4.040 1.097 1.029" Properties=species:S:1:pos:R:3 pbc="T T T"
Zn 0.097 -1.609 2.097
Ge -0.281 -0.818 -0.232
K -2.956 -3.119 0.751
```

* volume: 28.82 Å³ per atom
* Fermi-level density of states: 1.9 states/eV/cell
* raw total energy: -2.37 eV/atom
* distance to the lowest polymorph of the same formula: 0.013 eV per atom
* energy of formation from the pure elements: -0.04 eV per atom